DFT (PBE) results for a geometry-optimized Y2ReAs structure.

```
4
Lattice="2.3502 -4.0260 -1.2797 1.3955 -3.1621 3.3798 -2.1945 -4.2934 0.3464" Properties=species:S:1:pos:R:3 pbc="T T T"
As 0.7756 -5.7408 1.2233
Re 0.3878 -2.8704 0.6116
Y 0.0000 0.0000 0.0000
Y 1.1634 -8.6111 1.8349
```

Properties
Total energy, eV per atom: -7.390
Volume, Å³/atom: 19.97

DFT (PBE) results for a geometry-optimized Ho4TlPbN2 structure.

```
8
Lattice="3.5213 0.0000 0.0000 -1.7607 3.0496 0.0000 0.0000 0.0000 15.5993" Properties=species:S:1:pos:R:3 pbc="T T T"
Ho 0.0000 0.0000 2.5908
Ho 1.7607 1.0165 5.1990
Ho 1.7607 1.0165 10.4003
Ho 0.0000 0.0000 13.0085
N 0.0000 2.0330 3.9169
N 0.0000 2.0330 11.6824
Pb 0.0000 0.0000 7.7996
Tl 1.7607 1.0165 0.0000
```

Properties
Total energy, eV per atom: -6.190
Volume, Å³/atom: 20.94

DFT (PBE) results for a geometry-optimized LiLuAlCo structure.

```
4
Lattice="-2.8897 -3.4424 -0.4634 -4.2777 0.7900 -1.2217 -1.4352 -1.2072 -4.1108" Properties=species:S:1:pos:R:3 pbc="T T T"
Al 0.0000 0.0000 0.0000
Co -6.4519 -2.8947 -4.3469
Li -4.3013 -1.9298 -2.8979
Lu -2.1506 -0.9649 -1.4490
```

Properties
Energy relative to the lowest polymorph listed for this composition, meV per atom: 254.8
Volume, Å³/atom: 16.31

- Among the records above, which one has the lowest volume?
  LiLuAlCo